# 1
# RbUI5 PBE relaxed
# ΔE_f (raw): -675 kJ/mol of formula units
# crystal system: monoclinic
# theoretical density: 4.18 g/cm³
data_RbUI5
_space_group_name_H-M_alt 'C 1 2/c 1'
_space_group_IT_number 15
_cell_length_a 14.244
_cell_length_b 9.542
_cell_length_c 12.270
_cell_angle_alpha 90.00
_cell_angle_beta 113.97
_cell_angle_gamma 90.00
loop_
_space_group_symop_operation_xyz
'x,y,z'
'-x,-y,-z'
'-x,y,-z+1/2'
'x,-y,z+1/2'
'x+1/2,y+1/2,z'
'-x+1/2,-y+1/2,-z'
'-x+1/2,y+1/2,-z+1/2'
'x+1/2,-y+1/2,z+1/2'
loop_
_atom_site_label
_atom_site_type_symbol
_atom_site_fract_x
_atom_site_fract_y
_atom_site_fract_z
Rb1 Rb 0.000 0.040 0.250
U1 U 0.000 0.500 0.000
I1 I 0.000 0.442 0.250
I2 I 0.085 0.211 0.008
I3 I 0.210 0.386 0.615



# 2
# Rb6UI12 PBE relaxed
# ΔE_f (raw): -2053 kJ/mol of formula units
# crystal system: trigonal
# theoretical density: 3.21 g/cm³
data_Rb6UI12
_space_group_name_H-M_alt 'R -3'
_space_group_IT_number 148
_space_group_name_Hall '-R 3'
_cell_length_a 15.1298
_cell_length_b 15.1298
_cell_length_c 17.7892
_cell_angle_alpha 90.00
_cell_angle_beta 90.00
_cell_angle_gamma 120.00
loop_
_atom_site_label
_atom_site_type_symbol
_atom_site_fract_x
_atom_site_fract_y
_atom_site_fract_z
Rb1 Rb 0.0455 0.7796 0.1089
U1 U 0.0000 0.0000 0.5000
I1 I 0.0404 0.7902 0.9045
I2 I 0.0830 0.9004 0.4047



# 3
# RbU2I11 PBE relaxed
# ΔE_f (raw): -1118 kJ/mol of formula units
# crystal system: orthorhombic
# theoretical density: 3.97 g/cm³
data_RbU2I11
_space_group_name_H-M_alt 'I b a m'
_space_group_IT_number 72
_space_group_name_Hall '-I 2 2c'
_cell_length_a 14.246
_cell_length_b 14.278
_cell_length_c 16.094
_cell_angle_alpha 90.00
_cell_angle_beta 90.00
_cell_angle_gamma 90.00
loop_
_atom_site_label
_atom_site_type_symbol
_atom_site_fract_x
_atom_site_fract_y
_atom_site_fract_z
Rb1 Rb 0.000 0.000 0.250
U1 U 0.149 0.341 0.000
I1 I 0.000 0.500 0.000
I2 I 0.041 0.243 0.128
I3 I 0.214 0.304 0.500
I4 I 0.248 0.058 0.371



# 4
# Rb3UI7 PBE relaxed
# ΔE_f (raw): -1221 kJ/mol of formula units
# crystal system: monoclinic
# theoretical density: 4.08 g/cm³
data_Rb3UI7
_space_group_name_H-M_alt 'C 1 m 1'
_space_group_IT_number 8
_cell_length_a 12.748
_cell_length_b 11.533
_cell_length_c 9.557
_cell_angle_alpha 90.00
_cell_angle_beta 126.76
_cell_angle_gamma 90.00
loop_
_space_group_symop_operation_xyz
'x,y,z'
'x,-y,z'
'x+1/2,y+1/2,z'
'x+1/2,-y+1/2,z'
loop_
_atom_site_label
_atom_site_type_symbol
_atom_site_fract_x
_atom_site_fract_y
_atom_site_fract_z
Rb1 Rb 0.000 0.000 0.000
Rb2 Rb 0.016 0.278 0.598
U1 U 0.061 0.500 0.149
I1 I 0.128 0.251 0.313
I2 I 0.208 0.500 0.989
I3 I 0.365 0.500 0.520
I4 I 0.370 0.168 0.841
I5 I 0.372 0.000 0.248